1.
# Nd8Te4PSe3

A relaxed structure of Nd8Te4PSe3 (PBE, the Alexandria database).

Structure (POSCAR):
```
Nd8Te4PSe3
1.0
4.325 2.497 7.255
-4.325 2.497 7.255
0.000 -4.994 7.255
Nd Te P Se
8 4 1 3
Cartesian
0.000 0.000 5.222
-2.077 -1.199 12.441
0.000 -2.399 9.323
-2.077 1.199 9.323
2.077 -1.199 12.441
0.000 2.399 12.441
2.077 1.199 9.323
0.000 0.000 16.542
0.000 0.000 0.000
-2.163 -1.249 7.255
-2.163 1.249 14.509
0.000 2.497 7.255
0.000 0.000 10.882
-4.325 0.000 10.882
-2.163 1.249 3.627
2.163 1.249 3.627
```

Results
- total magnetization (μB per cell) = 0.000
- uncorrected formation energy (meV per atom) = -1640

2.
# NdThPSe

A relaxed structure of NdThPSe (PBE, the Alexandria database).

Structure (POSCAR):
```
NdThPSe
1.0
2.051 1.184 7.248
-2.051 1.184 7.248
0.000 -2.368 7.248
Nd Th P Se
1 1 1 1
Cartesian
0.000 0.000 0.000
0.000 0.000 17.689
0.000 0.000 8.878
0.000 0.000 5.176
```

Results
- total magnetization (μB per cell) = 0.000
- uncorrected formation energy (meV per atom) = -1645

3.
# Nd6TlP2Se3

A relaxed structure of Nd6TlP2Se3 (PBE, the Alexandria database).

Structure (POSCAR):
```
Nd6TlP2Se3
1.0
9.310 -2.107 0.000
9.310 2.107 0.000
-2.012 0.000 8.408
Nd Tl P Se
6 1 2 3
Cartesian
-0.436 0.000 2.227
5.252 0.000 3.597
4.309 0.000 7.560
12.298 0.000 0.848
11.355 0.000 4.812
17.043 0.000 6.181
9.310 0.000 0.000
2.460 0.000 2.826
14.147 0.000 5.583
1.407 0.000 6.990
8.304 0.000 4.204
15.201 0.000 1.418
```

Results
- total magnetization (μB per cell) = 0.000
- uncorrected formation energy (meV per atom) = -1510

4.
# Nd4TlPSe2

A relaxed structure of Nd4TlPSe2 (PBE, the Alexandria database).

Structure (POSCAR):
```
Nd4TlPSe2
1.0
7.468 0.000 0.000
0.000 4.225 0.000
-2.420 0.000 7.113
Nd Tl P Se
4 1 1 2
Cartesian
1.225 0.000 1.663
0.059 2.112 5.442
4.989 2.112 1.671
3.824 0.000 5.450
-1.210 0.000 3.557
0.000 2.112 0.000
3.734 0.000 0.000
2.524 2.112 3.557
```

Results
- total magnetization (μB per cell) = 0.000
- uncorrected formation energy (meV per atom) = -1376

5.
# NdTmPSe

A relaxed structure of NdTmPSe (PBE, the Alexandria database).

Structure (POSCAR):
```
NdTmPSe
1.0
2.006 1.158 7.049
-2.006 1.158 7.049
0.000 -2.316 7.049
Nd Tm P Se
1 1 1 1
Cartesian
0.000 0.000 0.000
0.000 0.000 17.256
0.000 0.000 8.760
0.000 0.000 4.982
```

Results
- total magnetization (μB per cell) = 0.000
- uncorrected formation energy (meV per atom) = -1707

6.
# NdYPSe

A relaxed structure of NdYPSe (PBE, the Alexandria database).

Structure (POSCAR):
```
NdYPSe
1.0
2.022 1.167 7.111
-2.022 1.167 7.111
0.000 -2.334 7.111
Nd Y P Se
1 1 1 1
Cartesian
0.000 0.000 0.000
0.000 0.000 17.409
0.000 0.000 8.801
0.000 0.000 5.057
```

Results
- total magnetization (μB per cell) = 0.001
- uncorrected formation energy (meV per atom) = -1730

7.
# Nd5Si2P2

A relaxed structure of Nd5Si2P2 (PBE, the Alexandria database).

Structure (POSCAR):
```
Nd5Si2P2
1.0
7.429 -3.879 0.000
7.429 3.879 0.000
0.000 0.000 7.867
Nd Si P
10 4 4
Cartesian
0.000 0.000 0.000
5.317 2.523 5.249
5.317 1.356 1.315
9.542 2.523 5.249
9.542 1.356 1.315
7.429 0.000 3.933
5.317 -1.356 6.552
5.317 -2.523 2.618
9.542 -1.356 6.552
9.542 -2.523 2.618
7.429 3.000 3.038
7.429 0.879 6.972
7.429 -0.879 0.895
7.429 -3.000 4.829
2.963 0.000 0.000
4.467 0.000 3.933
10.392 0.000 3.933
11.896 0.000 0.000
```

Results
- total magnetization (μB per cell) = 0.000
- uncorrected formation energy (meV per atom) = -1025

8.
# NdSi2P6

A relaxed structure of NdSi2P6 (PBE, the Alexandria database).

Structure (POSCAR):
```
NdSi2P6
1.0
5.081 -14.051 0.000
5.081 14.051 0.000
0.000 0.000 10.357
Nd Si P
8 16 48
Cartesian
5.081 12.920 5.178
5.081 7.493 0.412
5.081 5.308 5.329
5.081 2.245 9.567
5.081 -2.245 4.388
5.081 -5.308 0.150
5.081 -7.493 5.590
5.081 -12.920 0.000
3.344 9.055 3.202
1.796 4.659 1.472
1.625 2.266 6.213
1.625 -2.266 1.035
3.349 1.867 2.898
1.796 -4.659 6.650
6.818 9.055 3.202
3.349 -1.867 8.077
6.812 1.867 2.898
3.344 -9.055 8.381
8.365 4.659 1.472
6.812 -1.867 8.077
8.537 2.266 6.213
8.537 -2.266 1.035
8.365 -4.659 6.650
6.818 -9.055 8.381
2.974 7.204 6.346
5.081 12.885 2.100
2.067 4.418 6.198
5.081 11.861 8.038
2.079 3.399 9.959
1.549 1.301 4.144
3.437 6.500 8.415
5.081 9.642 8.066
1.549 -1.301 9.323
3.528 4.118 2.861
5.081 7.660 3.365
3.040 0.818 0.946
3.469 1.202 7.003
5.081 5.020 8.215
2.079 -3.399 4.780
3.040 -0.818 6.124
5.081 4.353 1.300
2.067 -4.418 1.019
3.469 -1.202 1.825
5.081 2.133 5.789
6.725 6.500 8.415
7.187 7.204 6.346
5.081 0.853 3.977
3.528 -4.118 8.039
6.634 4.118 2.861
5.081 -0.853 9.155
2.974 -7.204 1.168
3.437 -6.500 3.236
5.081 -2.133 0.610
6.693 1.202 7.003
8.095 4.418 6.198
5.081 -4.353 6.479
7.121 0.818 0.946
8.082 3.399 9.959
5.081 -5.020 3.037
6.693 -1.202 1.825
7.121 -0.818 6.124
5.081 -7.660 8.544
6.634 -4.118 8.039
8.612 1.301 4.144
5.081 -9.642 2.887
6.725 -6.500 3.236
8.612 -1.301 9.323
8.082 -3.399 4.780
5.081 -11.861 2.860
8.095 -4.418 1.019
5.081 -12.885 7.279
7.187 -7.204 1.168
```

Results
- total magnetization (μB per cell) = 0.000
- uncorrected formation energy (meV per atom) = -434

9.
# Nd6SiP4

A relaxed structure of Nd6SiP4 (PBE, the Alexandria database).

Structure (POSCAR):
```
Nd6SiP4
1.0
2.085 -6.851 0.000
2.085 6.851 0.000
0.000 0.000 20.829
Nd Si P
12 2 8
Cartesian
0.000 0.000 0.000
0.000 0.000 10.415
2.085 4.299 15.622
2.085 3.100 1.728
2.085 3.100 8.686
2.085 0.628 13.809
2.085 0.628 17.435
2.085 -0.628 3.394
2.085 -0.628 7.020
2.085 -3.100 12.143
2.085 -3.100 19.101
2.085 -4.299 5.207
2.085 4.642 5.207
2.085 -4.642 15.622
2.085 5.611 13.088
2.085 5.611 18.155
2.085 1.883 11.302
2.085 1.883 19.942
2.085 -1.883 0.887
2.085 -1.883 9.527
2.085 -5.611 2.674
2.085 -5.611 7.741
```

Results
- total magnetization (μB per cell) = 0.893
- uncorrected formation energy (meV per atom) = -1270

10.
# Nd8SiP5

A relaxed structure of Nd8SiP5 (PBE, the Alexandria database).

Structure (POSCAR):
```
Nd8SiP5
1.0
-4.439 4.439 4.427
4.439 -4.439 4.427
4.439 4.439 -4.427
Nd Si P
8 1 5
Cartesian
3.879 1.603 -0.542
1.647 -0.580 1.679
2.792 5.019 -2.748
2.836 -0.560 4.969
1.603 4.999 0.542
3.859 2.792 2.748
0.560 2.836 3.884
0.580 1.647 7.175
0.000 0.000 4.427
6.676 1.126 -1.112
4.439 0.000 2.213
1.126 2.203 1.112
-2.236 3.313 3.315
3.313 2.236 5.539
```

Results
- total magnetization (μB per cell) = 0.000
- uncorrected formation energy (meV per atom) = -1184

11.
# Nd4SiP2

A relaxed structure of Nd4SiP2 (PBE, the Alexandria database).

Structure (POSCAR):
```
Nd4SiP2
1.0
2.088 -6.763 0.000
2.088 6.763 0.000
0.000 0.000 13.788
Nd Si P
8 2 4
Cartesian
0.000 0.000 0.000
0.000 0.000 6.894
2.088 3.062 8.571
2.088 3.062 12.110
2.088 0.628 3.447
2.088 -0.628 10.341
2.088 -3.062 1.677
2.088 -3.062 5.217
2.088 5.308 3.447
2.088 -5.308 10.341
2.088 1.857 0.862
2.088 1.857 6.031
2.088 -1.857 7.756
2.088 -1.857 12.925
```

Results
- total magnetization (μB per cell) = 1.160
- uncorrected formation energy (meV per atom) = -1075

12.
# Nd6SiTe3P2

A relaxed structure of Nd6SiTe3P2 (PBE, the Alexandria database).

Structure (POSCAR):
```
Nd6SiTe3P2
1.0
9.600 -2.149 0.000
9.600 2.149 0.000
-2.384 0.000 8.514
Nd Si Te P
6 1 3 2
Cartesian
-0.418 0.000 1.995
5.209 0.000 3.713
4.395 0.000 7.640
12.421 0.000 0.874
11.608 0.000 4.802
17.235 0.000 6.520
9.600 0.000 0.000
1.221 0.000 7.088
8.408 0.000 4.257
15.596 0.000 1.426
2.418 0.000 2.852
14.399 0.000 5.662
```

Results
- total magnetization (μB per cell) = 0.000
- uncorrected formation energy (meV per atom) = -1426